# 1
Cd2OsCl, optimized geometry, DFT PBE; mass density = 9.057 Mg/m³
1.0
-1.408 2.146 6.835
1.408 -2.146 6.835
1.408 2.146 -6.835
Cd Os Cl
2 1 1
Cartesian
0.000 0.000 2.532 Cd
0.000 0.000 11.138 Cd
1.408 0.000 0.000 Os
0.000 2.146 0.000 Cl

---

# 2
CdOs3Cl, optimized geometry, DFT PBE; mass density = 14.045 Mg/m³
1.0
4.396 0.000 0.000
0.000 4.396 0.000
0.000 0.000 4.396
Cd Os Cl
1 3 1
Cartesian
0.000 0.000 0.000 Cd
0.000 2.198 2.198 Os
2.198 0.000 2.198 Os
2.198 2.198 0.000 Os
2.198 2.198 2.198 Cl

---

| no. | uncorrected formation energy (meV per atom) | E above lowest polymorph (eV/atom) |
| --- | --- | --- |
| 1 | 574 | 0.315 |
| 2 | 1824 | 0.000 |